Co2TeOs: relaxed, PBE.

Computed properties:
Magnetic moment = 0.0 μB/f.u.
V = 14.279 Å³/atom
Formation energy (no corrections) = 498 meV per atom
Space-group type = Cm, No. 8
Theoretical density = 12.7 Mg/m³

Unit cell a=4.426 b=4.426 c=4.631 alpha=100.45 beta=100.45 gamma=39.92
Sites, in units of the cell vectors:
Co1 0.000 0.000 0.000
Co2 0.744 0.744 0.217
Te1 0.498 0.498 0.460
Os1 0.259 0.259 0.787

ThBeAl2Ru2: relaxed, PBE.

Computed properties:
E_form = -0.503 eV per atom
Magnetic moment = 0.0 μB/f.u.
V = 17.156 Å³/atom
Space-group type = P4/mmm, No. 123
Theoretical density = 8.0 Mg/m³

Unit cell a=4.320 b=4.320 c=5.516 alpha=90.00 beta=90.00 gamma=90.00
Sites, in units of the cell vectors:
Th1 0.000 0.000 0.000
Be1 0.000 0.000 0.500
Al1 0.500 0.500 0.250
Al2 0.500 0.500 0.750
Ru1 0.000 0.500 0.500
Ru2 0.500 0.000 0.500

CaMgMnBi2: relaxed, PBE.

Computed properties:
E_form = 1.210 eV per atom
Magnetic moment = 0.1 μB/f.u.
V = 31.045 Å³/atom
Space-group type = P4/mmm, No. 123
Theoretical density = 5.7 Mg/m³

Unit cell a=5.789 b=5.789 c=4.632 alpha=90.00 beta=90.00 gamma=90.00
Sites, in units of the cell vectors:
Ca1 0.000 0.000 0.000
Mg1 0.500 0.500 0.500
Mn1 0.000 0.000 0.500
Bi1 0.000 0.500 0.000
Bi2 0.500 0.000 0.000

Zr3Au2: relaxed, PBE.

Computed properties:
E_form = -0.367 eV per atom
Magnetic moment = 0.0 μB/f.u.
V = 20.691 Å³/atom
Space-group type = Fdd2, No. 43
Theoretical density = 10.7 Mg/m³

Unit cell a=7.711 b=5.889 c=8.881 alpha=58.86 beta=40.82 gamma=80.32
Sites, in units of the cell vectors:
Zr1 0.000 0.000 0.000
Zr2 0.250 0.250 0.250
Zr3 0.449 0.548 0.344
Zr4 0.548 0.449 0.659
Zr5 0.591 0.906 0.702
Zr6 0.906 0.591 0.801
Au1 0.137 0.792 0.264
Au2 0.443 0.986 0.458
Au3 0.792 0.137 0.807
Au4 0.986 0.443 0.113

Sr3InHg2: relaxed, PBE.

Computed properties:
E_form = -0.502 eV per atom
Magnetic moment = 0.0 μB/f.u.
V = 32.676 Å³/atom
Space-group type = P4/mmm, No. 123
Theoretical density = 6.6 Mg/m³

Unit cell a=4.051 b=4.051 c=11.946 alpha=90.00 beta=90.00 gamma=90.00
Sites, in units of the cell vectors:
Sr1 0.000 0.000 0.000
Sr2 0.000 0.000 0.330
Sr3 0.000 0.000 0.670
In1 0.500 0.500 0.500
Hg1 0.500 0.500 0.169
Hg2 0.500 0.500 0.831

CeSmTl4: relaxed, PBE.

Computed properties:
E_form = -0.036 eV per atom
Magnetic moment = 1.1 μB/f.u.
V = 31.229 Å³/atom
Space-group type = C2/m, No. 12
Theoretical density = 9.8 Mg/m³
Energy relative to the lowest polymorph listed for this composition = 0.042 eV per atom

Unit cell a=5.536 b=5.536 c=7.424 alpha=109.71 beta=109.71 gamma=63.82
Sites, in units of the cell vectors:
Ce1 0.000 0.000 0.000
Sm1 0.000 0.000 0.500
Tl1 0.314 0.314 0.909
Tl2 0.316 0.316 0.408
Tl3 0.684 0.684 0.592
Tl4 0.686 0.686 0.091